Density functional theory data (SCAN) for NiTeMo3 at its PBEsol-relaxed geometry.

```
NiTeMo3
1.0
4.788 0.000 0.000
0.000 4.788 0.000
0.000 0.000 4.788
Mo Te Ni
3 1 1
Direct
0.000 0.000 0.500
0.000 0.500 0.000
0.500 0.000 0.000
0.000 0.000 0.000
0.500 0.500 0.500
```

Formation energy (no corrections), meV per atom: 2361